# PBE YRe2Sb, optimized geometry
data_YRe2Sb
_cell_length_a 9.221
_cell_length_b 9.221
_cell_length_c 9.221
_cell_angle_alpha 20.34
_cell_angle_beta 20.34
_cell_angle_gamma 20.34
_symmetry_space_group_name_H-M 'P 1'
_symmetry_Int_Tables_number 1
_symmetry_space_group_name_Hall 'P 1'
loop_
_atom_site_label
_atom_site_type_symbol
_atom_site_fract_x
_atom_site_fract_y
_atom_site_fract_z
Y1 Y 0.743 0.743 0.743
Sb1 Sb 0.509 0.509 0.509
Re1 Re 0.260 0.260 0.260
Re2 Re 0.989 0.989 0.989
# crystal system	trigonal
# DOS at the Fermi energy	2.73	states/eV/cell
# final energy	-8.435	eV/atom